Here is a PBEsol-optimized structure of ZnCu15H24Cl8O24 from the Alexandria database. Energies are from SCAN.

Properties
offset from the most stable computed form	0.0	meV/atom
total energy	-606.78	eV/f.u.
magnetization	3.0	μB/cell
crystal system	triclinic

Lattice parameters (Å, degrees): 9.113 9.128 9.106 97.06 97.35 97.87
Each line ends with the local moment (μB).
Fractional positions:
Zn (0.000, 0.500, 0.000)  0.00
Cu (0.750, 0.990, 0.257)  -0.68
Cu (0.994, 0.255, 0.748)  0.68
Cu (0.251, 0.758, 0.998)  0.70
Cu (0.250, 0.010, 0.743)  -0.68
Cu (0.006, 0.745, 0.252)  0.68
Cu (0.749, 0.242, 0.002)  0.70
Cu (0.500, 0.500, 0.500)  0.74
Cu (0.500, 0.000, 0.000)  0.72
Cu (0.000, 0.000, 0.500)  0.70
Cu (0.507, 0.248, 0.253)  0.68
Cu (0.250, 0.259, 0.497)  -0.69
Cu (0.254, 0.497, 0.242)  -0.68
Cu (0.493, 0.752, 0.747)  0.68
Cu (0.750, 0.741, 0.503)  -0.69
Cu (0.746, 0.503, 0.758)  -0.68
H (0.471, 0.770, 0.474)  0.00
H (0.767, 0.466, 0.479)  0.00
H (0.479, 0.484, 0.797)  0.00
H (0.529, 0.230, 0.526)  0.00
H (0.233, 0.534, 0.521)  0.00
H (0.521, 0.516, 0.203)  0.00
H (0.483, 0.981, 0.299)  0.00
H (0.983, 0.300, 0.482)  0.00
H (0.283, 0.481, 0.971)  0.00
H (0.517, 0.019, 0.701)  0.00
H (0.017, 0.700, 0.518)  0.00
H (0.717, 0.519, 0.029)  0.00
H (0.770, 0.966, 0.979)  0.00
H (0.971, 0.979, 0.768)  0.00
H (0.976, 0.783, 0.976)  0.00
H (0.230, 0.034, 0.021)  0.00
H (0.029, 0.021, 0.232)  0.00
H (0.024, 0.217, 0.024)  0.00
H (0.471, 0.265, 0.976)  0.00
H (0.267, 0.981, 0.465)  0.00
H (0.979, 0.473, 0.279)  0.00
H (0.529, 0.735, 0.024)  0.00
H (0.733, 0.019, 0.535)  0.00
H (0.021, 0.527, 0.721)  0.00
Cl (0.818, 0.323, 0.318)  -0.01
Cl (0.323, 0.313, 0.823)  0.01
Cl (0.316, 0.820, 0.321)  -0.01
Cl (0.182, 0.677, 0.682)  -0.01
Cl (0.677, 0.687, 0.177)  0.01
Cl (0.684, 0.180, 0.679)  -0.01
Cl (0.822, 0.823, 0.816)  0.00
Cl (0.178, 0.177, 0.184)  0.00
O (0.728, 0.036, 0.051)  0.07
O (0.040, 0.050, 0.722)  0.07
O (0.046, 0.736, 0.044)  0.12
O (0.272, 0.964, 0.949)  0.07
O (0.960, 0.950, 0.278)  0.07
O (0.954, 0.264, 0.956)  0.12
O (0.542, 0.219, 0.044)  0.18
O (0.220, 0.050, 0.533)  -0.06
O (0.050, 0.541, 0.232)  0.01
O (0.458, 0.781, 0.956)  0.18
O (0.780, 0.950, 0.467)  -0.06
O (0.950, 0.459, 0.768)  0.01
O (0.541, 0.724, 0.543)  0.07
O (0.719, 0.535, 0.547)  -0.05
O (0.550, 0.557, 0.757)  0.01
O (0.459, 0.276, 0.457)  0.07
O (0.281, 0.465, 0.453)  -0.05
O (0.450, 0.443, 0.243)  0.01
O (0.558, 0.052, 0.262)  -0.01
O (0.056, 0.264, 0.555)  -0.01
O (0.238, 0.550, 0.041)  0.00
O (0.442, 0.948, 0.738)  -0.01
O (0.944, 0.736, 0.445)  -0.01
O (0.762, 0.450, 0.959)  0.00